Record 1
! PBE-GGA Ti6Fe5Os, relaxed; values from VASP
&SYSTEM
  ibrav = 0, nat = 12, ntyp = 3
/
ATOMIC_SPECIES
Fe 55.84 Fe.upf
Ti 47.87 Ti.upf
Os 190.23 Os.upf
ATOMIC_POSITIONS crystal
Fe 0.3326 0.8326 0.6651
Fe 0.6670 0.6670 0.3341
Fe 0.0000 0.5000 0.0000
Fe 0.3330 0.3330 0.6659
Fe 0.6674 0.1674 0.3349
Ti 0.5000 0.2560 0.0000
Ti 0.1691 0.4221 0.3383
Ti 0.8309 0.0838 0.6617
Ti 0.5000 0.7440 0.0000
Ti 0.1691 0.9162 0.3383
Ti 0.8309 0.5779 0.6617
Os 0.0000 0.0000 0.0000
CELL_PARAMETERS angstrom
-2.1509 -0.9732 -3.5052
-1.7191 -5.1315 2.4799
-3.1930 5.9080 2.8666
! Raw total energy ... -8.8638 eV/atom
! DOS(E_F) ... 0.300 states/eV/atom
! Spin magnetization ... 0.001 Bohr magnetons per cell
! Energy of formation ... -0.45 eV/atom

Record 2
! PBE-GGA Li2Al2CdAu5, relaxed; values from VASP
&SYSTEM
  ibrav = 0, nat = 20, ntyp = 4
/
ATOMIC_SPECIES
Cd 112.41 Cd.upf
Au 196.97 Au.upf
Al 26.98 Al.upf
Li 6.94 Li.upf
ATOMIC_POSITIONS crystal
Cd 0.0000 0.5000 0.5000
Cd 0.0000 0.0000 0.0000
Au 0.5000 0.8765 0.1787
Au 0.5000 0.0000 0.5000
Au 0.5000 0.1787 0.1235
Au 0.5000 0.3765 0.3213
Au 0.5000 0.1235 0.8213
Au 0.5000 0.8213 0.8765
Au 0.5000 0.6787 0.3765
Au 0.5000 0.3213 0.6235
Au 0.5000 0.6235 0.6787
Au 0.5000 0.5000 0.0000
Al 0.0000 0.3658 0.1342
Al 0.0000 0.1342 0.6342
Al 0.0000 0.6342 0.8658
Al 0.0000 0.8658 0.3658
Li 0.0000 0.1595 0.3405
Li 0.0000 0.3405 0.8405
Li 0.0000 0.6595 0.1595
Li 0.0000 0.8405 0.6595
CELL_PARAMETERS angstrom
3.1818 0.0000 0.0000
0.0000 10.8792 0.0000
0.0000 0.0000 10.8792
! Raw total energy ... -3.2098 eV/atom
! DOS(E_F) ... 0.263 states/eV/atom
! Spin magnetization ... 0.000 Bohr magnetons per cell
! Energy of formation ... -0.35 eV/atom

Record 3
! PBE-GGA Nd6SmDy2Er3, relaxed; values from VASP
&SYSTEM
  ibrav = 0, nat = 12, ntyp = 4
/
ATOMIC_SPECIES
Nd 144.24 Nd.upf
Er 167.26 Er.upf
Dy 162.50 Dy.upf
Sm 150.36 Sm.upf
ATOMIC_POSITIONS crystal
Nd 0.4180 0.0842 0.2519
Nd 0.7503 0.7503 0.2518
Nd 0.2497 0.2497 0.7482
Nd 0.9158 0.5820 0.7481
Nd 0.5820 0.9158 0.7481
Nd 0.0842 0.4180 0.2519
Er 0.5000 0.5000 0.5000
Er 0.8333 0.1667 0.5000
Er 0.1667 0.8333 0.5000
Dy 0.6666 0.3334 0.0000
Dy 0.3334 0.6666 0.0000
Sm 0.0000 0.0000 0.0000
CELL_PARAMETERS angstrom
-1.0027 4.9260 3.7480
-4.1500 -4.6971 -0.1817
7.4374 -5.4684 7.4343
! Raw total energy ... -4.6721 eV/atom
! DOS(E_F) ... 1.128 states/eV/atom
! Spin magnetization ... 0.000 Bohr magnetons per cell
! Energy of formation ... 0.01 eV/atom

Record 4
! PBE-GGA Sm8Zn2Tc, relaxed; values from VASP
&SYSTEM
  ibrav = 0, nat = 11, ntyp = 3
/
ATOMIC_SPECIES
Sm 150.36 Sm.upf
Zn 65.41 Zn.upf
Tc 98.00 Tc.upf
ATOMIC_POSITIONS crystal
Sm 0.3398 0.0361 0.6797
Sm 0.0257 0.7887 0.0514
Sm 0.5918 0.4364 0.1836
Sm 0.8032 0.6979 0.6063
Sm 0.9743 0.2113 0.9486
Sm 0.6602 0.9639 0.3203
Sm 0.4082 0.5636 0.8164
Sm 0.1968 0.3021 0.3937
Zn 0.8151 0.2880 0.6302
Zn 0.1849 0.7120 0.3698
Tc 0.5000 0.0000 0.0000
CELL_PARAMETERS angstrom
5.2734 0.0000 0.0000
0.0000 6.9599 0.1507
-2.6367 -2.8034 8.3656
! Raw total energy ... -4.6860 eV/atom
! DOS(E_F) ... 0.955 states/eV/atom
! Polymorph energy (0 for the lowest one) ... 0 meV/atom
! Spin magnetization ... 0.000 Bohr magnetons per cell
! Energy of formation ... -0.08 eV/atom

Record 5
! PBE-GGA CuTe4Cl, relaxed; values from VASP
&SYSTEM
  ibrav = 0, nat = 12, ntyp = 3
/
ATOMIC_SPECIES
Te 127.60 Te.upf
Cl 35.45 Cl.upf
Cu 63.55 Cu.upf
ATOMIC_POSITIONS crystal
Te 0.5767 0.8259 0.1898
Te 0.5767 0.3639 0.1898
Te 0.0000 0.7876 0.0000
Te 0.4233 0.6361 0.8102
Te 0.7301 0.3125 0.6249
Te 0.2699 0.6875 0.3751
Te 0.4233 0.1741 0.8102
Te 0.0000 0.2124 0.0000
Cl 0.7555 0.7525 0.5051
Cl 0.2445 0.2475 0.4949
Cu 0.8145 0.5006 0.0011
Cu 0.1855 0.4994 0.9989
CELL_PARAMETERS angstrom
-5.4653 -3.4639 3.2467
-0.8550 -4.5210 -6.2627
3.6999 -2.6307 6.2155
! ΔE_f (raw) ... 0.042 eV per atom
! Raw total energy ... -3.0428 eV/atom
! DOS(E_F) ... 0.705 states/eV/atom
! Polymorph energy (0 for the lowest one) ... 0 meV/atom
! Spin magnetization ... 0.000 Bohr magnetons per cell

Record 6
! PBE-GGA YAgRhAu, relaxed; values from VASP
&SYSTEM
  ibrav = 0, nat = 4, ntyp = 4
/
ATOMIC_SPECIES
Au 196.97 Au.upf
Ag 107.87 Ag.upf
Y 88.91 Y.upf
Rh 102.91 Rh.upf
ATOMIC_POSITIONS crystal
Au 0.5000 0.5000 0.0000
Ag 0.0000 0.0000 0.0000
Y 0.0000 0.5000 0.5000
Rh 0.5000 0.0000 0.5000
CELL_PARAMETERS angstrom
-3.8848 -0.4655 1.0477
1.1081 -2.7147 2.9026
0.3992 3.3254 2.9577
! Raw total energy ... -5.5268 eV/atom
! DOS(E_F) ... 0.178 states/eV/atom
! Polymorph energy (0 for the lowest one) ... 0 meV/atom
! Spin magnetization ... 0.000 Bohr magnetons per cell
! Energy of formation ... -0.54 eV/atom

Record 7
! PBE-GGA Ac4Ir2SeS, relaxed; values from VASP
&SYSTEM
  ibrav = 0, nat = 8, ntyp = 4
/
ATOMIC_SPECIES
Ac 227.00 Ac.upf
Se 78.96 Se.upf
Ir 192.22 Ir.upf
S 32.06 S.upf
ATOMIC_POSITIONS crystal
Ac 0.5000 0.7461 0.7290
Ac 0.0000 0.2393 0.7255
Ac 0.5000 0.2539 0.2710
Ac 0.0000 0.7607 0.2745
Se 0.5000 0.5000 0.0000
Ir 0.0000 0.5000 0.5000
Ir 0.5000 0.0000 0.5000
S 0.0000 0.0000 0.0000
CELL_PARAMETERS angstrom
4.3238 0.0000 0.0000
0.0000 7.4887 0.1284
0.0000 -2.6288 7.4690
! ΔE_f (raw) ... -1.282 eV per atom
! Raw total energy ... -6.5032 eV/atom
! DOS(E_F) ... 0.468 states/eV/atom
! Spin magnetization ... 0.000 Bohr magnetons per cell

Record 8
! PBE-GGA BaCd2In, relaxed; values from VASP
&SYSTEM
  ibrav = 0, nat = 4, ntyp = 3
/
ATOMIC_SPECIES
Cd 112.41 Cd.upf
Ba 137.33 Ba.upf
In 114.82 In.upf
ATOMIC_POSITIONS crystal
Cd 0.0408 0.0408 0.8769
Cd 0.7443 0.7443 0.7668
Ba 0.2507 0.2507 0.2483
In 0.4641 0.4641 0.6080
CELL_PARAMETERS angstrom
-2.3597 -3.6614 -2.3532
1.4910 -4.6831 0.5969
-4.1099 -3.4205 4.1801
! Raw total energy ... -1.8807 eV/atom
! DOS(E_F) ... 0.900 states/eV/atom
! Spin magnetization ... 0.000 Bohr magnetons per cell
! Energy of formation ... -0.26 eV/atom

Record 9
! PBE-GGA Ba2HoPt3O12, relaxed; values from VASP
&SYSTEM
  ibrav = 0, nat = 18, ntyp = 4
/
ATOMIC_SPECIES
O 16.00 O.upf
Pt 195.08 Pt.upf
Ba 137.33 Ba.upf
Ho 164.93 Ho.upf
ATOMIC_POSITIONS crystal
O 0.3080 0.3080 0.8763
O 0.1140 0.1140 0.6136
O 0.8860 0.3864 0.8860
O 0.3080 0.8763 0.3080
O 0.6920 0.6920 0.1237
O 0.8860 0.8860 0.3864
O 0.3864 0.8860 0.8860
O 0.8763 0.3080 0.3080
O 0.1237 0.6920 0.6920
O 0.6920 0.1237 0.6920
O 0.1140 0.6136 0.1140
O 0.6136 0.1140 0.1140
Pt 0.0000 0.0000 0.5000
Pt 0.5000 0.0000 0.0000
Pt 0.0000 0.5000 0.0000
Ba 0.3847 0.3847 0.3847
Ba 0.6153 0.6153 0.6153
Ho 0.0000 0.0000 0.0000
CELL_PARAMETERS angstrom
-5.3037 3.0015 -3.6765
-6.2675 -3.3652 -0.2201
-5.4488 2.7942 3.6274
! ΔE_f (raw) ... -1.295 eV per atom
! Raw total energy ... -6.0756 eV/atom
! DOS(E_F) ... 0.671 states/eV/atom
! Spin magnetization ... 4.336 Bohr magnetons per cell

Record 10
! PBE-GGA CoPdSe, relaxed; values from VASP
&SYSTEM
  ibrav = 0, nat = 6, ntyp = 3
/
ATOMIC_SPECIES
Co 58.93 Co.upf
Pd 106.42 Pd.upf
Se 78.96 Se.upf
ATOMIC_POSITIONS crystal
Co 0.1228 0.1228 0.6316
Co 0.8772 0.8772 0.3684
Pd 0.3732 0.3732 0.8805
Pd 0.6268 0.6268 0.1195
Se 0.2346 0.2346 0.2962
Se 0.7654 0.7654 0.7038
CELL_PARAMETERS angstrom
3.9832 0.0000 0.0000
1.9916 3.4496 0.0000
1.9916 1.1499 6.9273
! ΔE_f (raw) ... -0.010 eV per atom
! Raw total energy ... -5.2707 eV/atom
! DOS(E_F) ... 0.883 states/eV/atom
! Spin magnetization ... 1.802 Bohr magnetons per cell

Record 11
! PBE-GGA LiZnCrSe2, relaxed; values from VASP
&SYSTEM
  ibrav = 0, nat = 5, ntyp = 4
/
ATOMIC_SPECIES
Cr 52.00 Cr.upf
Li 6.94 Li.upf
Se 78.96 Se.upf
Zn 65.41 Zn.upf
ATOMIC_POSITIONS crystal
Cr 0.0000 0.5000 0.0000
Li 0.5000 0.5000 0.5000
Se 0.5000 0.0000 0.0000
Se 0.0000 0.0000 0.5000
Zn 0.0000 0.0000 0.0000
CELL_PARAMETERS angstrom
5.0448 0.0000 0.0000
0.0000 4.8137 0.0000
0.0000 0.0000 5.0448
! ΔE_f (raw) ... 0.301 eV per atom
! Raw total energy ... -3.6552 eV/atom
! DOS(E_F) ... 0.343 states/eV/atom
! Spin magnetization ... 4.872 Bohr magnetons per cell

Record 12
! PBE-GGA BiBSbI2, relaxed; values from VASP
&SYSTEM
  ibrav = 0, nat = 5, ntyp = 4
/
ATOMIC_SPECIES
B 10.81 B.upf
Bi 208.98 Bi.upf
Sb 121.76 Sb.upf
I 126.90 I.upf
ATOMIC_POSITIONS crystal
B 0.0000 0.0000 0.0000
Bi 0.5000 0.5000 0.5000
Sb 0.0000 0.0000 0.5000
I 0.0000 0.5000 0.0000
I 0.5000 0.0000 0.0000
CELL_PARAMETERS angstrom
-2.2159 1.8289 -4.0773
-3.0007 -3.9813 -0.1551
-3.5575 2.5612 3.0822
! ΔE_f (raw) ... 0.731 eV per atom
! Raw total energy ... -2.8253 eV/atom
! DOS(E_F) ... 0.565 states/eV/atom
! Polymorph energy (0 for the lowest one) ... 0 meV/atom
! Spin magnetization ... 0.000 Bohr magnetons per cell

Record 13
! PBE-GGA CdFeAsBr2, relaxed; values from VASP
&SYSTEM
  ibrav = 0, nat = 5, ntyp = 4
/
ATOMIC_SPECIES
Fe 55.84 Fe.upf
Br 79.90 Br.upf
As 74.92 As.upf
Cd 112.41 Cd.upf
ATOMIC_POSITIONS crystal
Fe 0.5000 0.5000 0.5000
Br 0.0000 0.5000 0.0000
Br 0.5000 0.0000 0.0000
As 0.0000 0.0000 0.5000
Cd 0.0000 0.0000 0.0000
CELL_PARAMETERS angstrom
-1.1521 4.4521 -2.8206
-5.2704 -0.9750 0.6138
-0.0032 2.8649 4.5233
! ΔE_f (raw) ... 0.763 eV per atom
! Raw total energy ... -2.7118 eV/atom
! DOS(E_F) ... 0.755 states/eV/atom
! Polymorph energy (0 for the lowest one) ... 582 meV/atom
! Spin magnetization ... 4.980 Bohr magnetons per cell

Record 14
! PBE-GGA CuAgBiSe3, relaxed; values from VASP
&SYSTEM
  ibrav = 0, nat = 12, ntyp = 4
/
ATOMIC_SPECIES
Se 78.96 Se.upf
Ag 107.87 Ag.upf
Bi 208.98 Bi.upf
Cu 63.55 Cu.upf
ATOMIC_POSITIONS crystal
Se 0.2500 0.5807 0.8662
Se 0.2500 0.7706 0.4689
Se 0.7500 0.2294 0.5311
Se 0.7500 0.4193 0.1338
Se 0.2500 0.0828 0.8581
Se 0.7500 0.9172 0.1419
Ag 0.7500 0.3231 0.8318
Ag 0.2500 0.6769 0.1682
Bi 0.7500 0.8106 0.8260
Bi 0.2500 0.1894 0.1740
Cu 0.2500 0.0819 0.5148
Cu 0.7500 0.9181 0.4852
CELL_PARAMETERS angstrom
4.1337 0.0000 0.0000
0.0000 8.3624 -0.1996
0.0000 -2.4048 8.8081
! ΔE_f (raw) ... -0.164 eV per atom
! Raw total energy ... -3.7109 eV/atom
! DOS(E_F) ... 0.775 states/eV/atom
! Spin magnetization ... 0.000 Bohr magnetons per cell

Record 15
! PBE-GGA CrGaIr, relaxed; values from VASP
&SYSTEM
  ibrav = 0, nat = 12, ntyp = 3
/
ATOMIC_SPECIES
Ir 192.22 Ir.upf
Cr 52.00 Cr.upf
Ga 69.72 Ga.upf
ATOMIC_POSITIONS crystal
Ir 0.2500 0.6839 0.1340
Ir 0.7500 0.3161 0.1340
Ir 0.2500 0.1839 0.6340
Ir 0.7500 0.8161 0.6340
Cr 0.7500 0.8286 0.3005
Cr 0.2500 0.1714 0.3005
Cr 0.7500 0.3286 0.8005
Cr 0.2500 0.6714 0.8005
Ga 0.7500 0.8177 0.9684
Ga 0.2500 0.6823 0.4684
Ga 0.7500 0.3177 0.4684
Ga 0.2500 0.1823 0.9684
CELL_PARAMETERS angstrom
4.4514 0.0000 0.0000
0.0000 4.7575 0.0000
0.0000 0.0000 7.7689
! Raw total energy ... -7.3077 eV/atom
! DOS(E_F) ... 0.831 states/eV/atom
! Spin magnetization ... 4.222 Bohr magnetons per cell
! Energy of formation ... -0.14 eV/atom

Record 16
! PBE-GGA MgP2, relaxed; values from VASP
&SYSTEM
  ibrav = 0, nat = 6, ntyp = 2
/
ATOMIC_SPECIES
P 30.97 P.upf
Mg 24.30 Mg.upf
ATOMIC_POSITIONS crystal
P 0.0830 0.0830 0.2972
P 0.1864 0.1864 0.9688
P 0.8136 0.8136 0.0312
P 0.9170 0.9170 0.7028
Mg 0.4144 0.4144 0.3222
Mg 0.5856 0.5856 0.6778
CELL_PARAMETERS angstrom
1.8722 -2.6923 5.7466
3.9740 -0.2101 5.2859
-3.1729 3.2991 3.3010
! Raw total energy ... -4.2744 eV/atom
! DOS(E_F) ... 0.475 states/eV/atom
! Spin magnetization ... 0.000 Bohr magnetons per cell
! Energy of formation ... -0.14 eV/atom